# PBE AlNiTe2, relaxed
data_AlNiTe2
_cell_length_a 3.962
_cell_length_b 6.771
_cell_length_c 5.506
_cell_angle_alpha 35.66
_cell_angle_beta 90.00
_cell_angle_gamma 90.00
_space_group_name_H-M_alt 'P 1'
_space_group_IT_number 1
_space_group_name_Hall 'P 1'
loop_
_atom_site_label
_atom_site_fract_x
_atom_site_fract_y
_atom_site_fract_z
Ni1 0.000 0.000 0.500
Te1 0.000 0.000 0.000
Te2 0.500 0.500 0.000
Al1 0.500 0.500 0.500
# - total moment (μB per formula unit) = 0.00
# - DOS at the Fermi energy (states/eV/atom) = 0.6090
# - E (eV/atom) = -4.062